# GGA+U V3BiO9, optimized geometry
# Total magnetic moment (μB per cell): 0.00
# Density of states at the Fermi level (states/eV/cell): 0.000
# Total DFT energy (no corrections) (eV/cell): -372.21
data_V3BiO9
_chemical_formula_sum 'V12 Bi4 O36'
_cell_length_a 9.145
_cell_length_b 12.017
_cell_length_c 7.686
_cell_angle_alpha 90.00
_cell_angle_beta 90.00
_cell_angle_gamma 90.00
_space_group_name_H-M_alt 'C 2 2 21'
_space_group_IT_number 20
_space_group_name_Hall 'C 2c 2'
loop_
_atom_site_label
_atom_site_fract_x
_atom_site_fract_y
_atom_site_fract_z
V1 0.026 0.179 0.029
V2 0.247 0.000 0.500
Bi1 0.126 0.500 0.500
O1 0.000 0.139 0.250
O2 0.011 0.317 0.010
O3 0.129 0.112 0.569
O4 0.148 0.478 0.819
O5 0.192 0.127 0.964